1.
# ScRe2Sb

An optimized crystal structure of ScRe2Sb (PBE, Alexandria via LeMat-Bulk).

```
4
Lattice="5.461 0.010 -0.011 -2.442 4.884 -0.011 0.724 1.174 2.615" Properties=species:S:1:pos:R:3 pbc="T T T"
Re 0.000 0.000 0.000
Sc -0.859 3.029 1.302
Re 1.509 2.447 -0.011
Sb 3.092 0.592 1.302
```

**Space group**: C2/m (12)
**Formation energy from raw total energies**: 319.2 meV/atom

---

2.
# CaTaTeSe

An optimized crystal structure of CaTaTeSe (PBE, Alexandria via LeMat-Bulk).

```
4
Lattice="4.961 0.000 0.000 2.480 4.296 0.000 2.480 1.432 4.050" Properties=species:S:1:pos:R:3 pbc="T T T"
Ta 2.480 1.432 1.013
Ca 7.441 4.296 3.038
Te 0.000 0.000 0.000
Se 4.961 2.864 2.025
```

**Space group**: F-43m (216)
**Formation energy from raw total energies**: -421.7 meV/atom

---

3.
# BeWCl

An optimized crystal structure of BeWCl (PBE, Alexandria via LeMat-Bulk).

```
3
Lattice="-1.605 -0.827 2.307 1.519 -1.993 -1.517 4.616 0.844 3.514" Properties=species:S:1:pos:R:3 pbc="T T T"
Cl 1.023 -0.926 2.240
W 3.581 -1.037 2.119
Be 4.542 0.830 3.458
```

**Space group**: P3m1 (156)
**Formation energy from raw total energies**: 432.2 meV/atom
**Energy relative to the lowest polymorph listed for this composition**: 0 meV/atom

---

4.
# AsHF4

An optimized crystal structure of AsHF4 (PBE, Alexandria via LeMat-Bulk).

```
6
Lattice="-0.621 -2.828 3.976 4.380 -2.089 -0.802 -0.406 4.816 0.320" Properties=species:S:1:pos:R:3 pbc="T T T"
F 0.800 -1.705 3.038
F 3.725 -1.986 1.127
As 1.880 -2.458 1.587
H 0.426 -0.235 2.941
F 1.680 0.500 2.496
F 0.502 2.990 0.327
```

**Space group**: I-4 (82)
**Energy relative to the lowest polymorph listed for this composition**: 479 meV/atom

---

5.
# BaSrSe2

An optimized crystal structure of BaSrSe2 (PBE, Alexandria via LeMat-Bulk).

```
4
Lattice="4.587 0.001 -0.001 2.287 3.976 -0.001 2.300 1.330 7.507" Properties=species:S:1:pos:R:3 pbc="T T T"
Se 4.587 2.654 3.857
Ba 2.293 1.327 1.876
Se 2.300 1.330 7.402
Sr 6.880 3.981 5.629
```

**Space group**: C2/m (12)
**Formation energy from raw total energies**: -2050.5 meV/atom
**Energy relative to the lowest polymorph listed for this composition**: 0 meV/atom

---

6.
# Th3MgSb4

An optimized crystal structure of Th3MgSb4 (PBE, Alexandria via LeMat-Bulk).

```
8
Lattice="6.340 0.000 0.000 0.000 6.340 0.000 0.000 0.000 6.340" Properties=species:S:1:pos:R:3 pbc="T T T"
Th 0.000 3.170 3.170
Sb 3.170 0.000 0.000
Sb 3.170 3.170 3.170
Sb 0.000 3.170 0.000
Mg 0.000 0.000 0.000
Th 3.170 3.170 0.000
Th 3.170 0.000 3.170
Sb 0.000 0.000 3.170
```

**Space group**: Pm-3m (221)
**Formation energy from raw total energies**: -745.0 meV/atom

---

| no. | raw total energy (eV per formula unit) | N(E_F) (states/eV per cell) |
| --- | --- | --- |
| 1 | -34.1 | 3.78 |
| 2 | -22.2 | 3.96 |
| 3 | -17.2 | 1.72 |
| 4 | -24.4 | 0.00 |
| 5 | -18.8 | 0.00 |
| 6 | -46.3 | 4.32 |